Material: FeAs2Cl
Method: DFT, GGA-PBE
State: optimized geometry Values from VASP.

```
&SYSTEM
  ibrav = 0, nat = 4, ntyp = 3
/
ATOMIC_SPECIES
Fe 55.84 Fe.upf
As 74.92 As.upf
Cl 35.45 Cl.upf
CELL_PARAMETERS angstrom
-2.040 2.040 4.238
2.040 -2.040 4.238
2.040 2.040 -4.238
ATOMIC_POSITIONS angstrom
Fe 0.000 0.000 0.000
As 2.040 0.000 2.119
As 0.000 2.040 2.119
Cl 0.000 0.000 4.238
```

Size of the total moment = 2.570 μB per formula unit
V = 17.64 A^3/atom
Space group = I4/mmm
Uncorrected formation energy = 0.521 eV per atom
Excess energy over the best structure of this formula in the dataset = 653.5 meV/atom

Material: AlTlCu2
Method: DFT, GGA-PBE
State: optimized geometry Values from VASP.

```
&SYSTEM
  ibrav = 0, nat = 4, ntyp = 3
/
ATOMIC_SPECIES
Al 26.98 Al.upf
Tl 204.38 Tl.upf
Cu 63.55 Cu.upf
CELL_PARAMETERS angstrom
3.069 0.000 0.000
0.000 3.069 0.000
0.000 0.000 7.256
ATOMIC_POSITIONS angstrom
Al 0.000 0.000 0.000
Tl 0.000 0.000 3.628
Cu 1.535 1.535 1.370
Cu 1.535 1.535 5.887
```

Size of the total moment = 0.000 μB per formula unit
V = 17.09 A^3/atom
Space group = P4/mmm
Energy of formation from the pure elements = 11.0 kJ/mol of atoms
Excess energy over the best structure of this formula in the dataset = 8.3 meV/atom

Material: NdSm8Ho4
Method: DFT, GGA-PBE
State: optimized geometry Values from VASP.

```
&SYSTEM
  ibrav = 0, nat = 13, ntyp = 3
/
ATOMIC_SPECIES
Nd 144.24 Nd.upf
Sm 150.36 Sm.upf
Ho 164.93 Ho.upf
CELL_PARAMETERS angstrom
3.671 2.119 9.300
-3.671 2.119 9.300
0.000 -4.239 9.300
ATOMIC_POSITIONS angstrom
Nd 0.000 0.000 0.000
Sm 0.000 -1.902 11.172
Sm -1.647 0.951 11.172
Sm 0.000 0.000 7.901
Sm -1.647 -0.951 16.727
Sm 1.647 0.951 11.172
Sm 0.000 0.000 19.999
Sm 1.647 -0.951 16.727
Sm 0.000 1.902 16.727
Ho -3.671 0.000 13.950
Ho -1.835 1.060 4.650
Ho 1.835 1.060 4.650
Ho 0.000 0.000 13.950
```

Size of the total moment = 0.000 μB per formula unit
V = 33.39 A^3/atom
Space group = R-3m
Energy of formation from the pure elements = 17.7 kJ/mol of atoms

Material: EuSnHgPb
Method: DFT, GGA-PBE
State: optimized geometry Values from VASP.

```
&SYSTEM
  ibrav = 0, nat = 4, ntyp = 4
/
ATOMIC_SPECIES
Eu 151.96 Eu.upf
Sn 118.71 Sn.upf
Hg 200.59 Hg.upf
Pb 207.20 Pb.upf
CELL_PARAMETERS angstrom
0.000 3.898 3.898
3.898 0.000 3.898
3.898 3.898 0.000
ATOMIC_POSITIONS angstrom
Eu 0.000 0.000 0.000
Sn 1.949 1.949 1.949
Hg 5.847 5.847 5.847
Pb 3.898 3.898 3.898
```

Size of the total moment = 7.067 μB per formula unit
V = 29.61 A^3/atom
Space group = F-43m
Energy of formation from the pure elements = -34.4 kJ/mol of atoms

Material: Sn2Pb3
Method: DFT, GGA-PBE
State: optimized geometry Values from VASP.

```
&SYSTEM
  ibrav = 0, nat = 10, ntyp = 2
/
ATOMIC_SPECIES
Sn 118.71 Sn.upf
Pb 207.20 Pb.upf
CELL_PARAMETERS angstrom
4.186 2.417 5.393
-4.186 2.417 5.393
0.000 -4.834 5.393
ATOMIC_POSITIONS angstrom
Sn 0.000 0.000 1.527
Sn 0.000 0.000 6.563
Sn 0.000 0.000 9.617
Sn 0.000 0.000 14.653
Pb -3.122 -0.573 6.742
Pb -1.065 -2.990 9.438
Pb 2.057 -2.417 6.742
Pb -2.057 2.417 9.438
Pb 1.065 2.990 6.742
Pb 3.122 0.573 9.438
```

Size of the total moment = 0.000 μB per formula unit
V = 32.74 A^3/atom
Space group = R-3c
Energy of formation from the pure elements = 9.9 kJ/mol of atoms
Excess energy over the best structure of this formula in the dataset = 55.3 meV/atom

Material: Ca3Tl4Pd4
Method: DFT, GGA-PBE
State: optimized geometry Values from VASP.

```
&SYSTEM
  ibrav = 0, nat = 11, ntyp = 3
/
ATOMIC_SPECIES
Ca 40.08 Ca.upf
Tl 204.38 Tl.upf
Pd 106.42 Pd.upf
CELL_PARAMETERS angstrom
-2.082 4.116 7.663
2.082 -4.116 7.663
2.082 4.116 -7.663
ATOMIC_POSITIONS angstrom
Ca 0.000 0.000 0.000
Ca 2.082 0.000 5.848
Ca 0.000 4.116 1.815
Tl 2.082 1.658 -2.539
Tl 2.082 1.658 2.539
Tl 0.000 2.458 5.124
Tl 0.000 2.458 10.202
Pd 0.000 0.000 3.455
Pd 2.082 2.680 0.000
Pd 0.000 1.436 7.663
Pd 0.000 0.000 11.871
```

Size of the total moment = 0.000 μB per formula unit
V = 23.88 A^3/atom
Space group = Immm
Energy of formation from the pure elements = -45.8 kJ/mol of atoms

Material: TaRuSe2N
Method: DFT, GGA-PBE
State: optimized geometry Values from VASP.

```
&SYSTEM
  ibrav = 0, nat = 5, ntyp = 4
/
ATOMIC_SPECIES
Ta 180.95 Ta.upf
Ru 101.07 Ru.upf
Se 78.96 Se.upf
N 14.01 N.upf
CELL_PARAMETERS angstrom
5.148 0.000 0.000
0.000 5.148 0.000
0.000 0.000 3.851
ATOMIC_POSITIONS angstrom
Ta 0.000 0.000 0.000
Ru 2.574 2.574 1.925
Se 0.000 2.574 0.000
Se 2.574 0.000 0.000
N 0.000 0.000 1.925
```

Size of the total moment = 3.357 μB per formula unit
V = 20.41 A^3/atom
Space group = P4/mmm
Uncorrected formation energy = 0.585 eV per atom
Excess energy over the best structure of this formula in the dataset = 0.0 meV/atom

Material: NbAl2Ge2
Method: DFT, GGA-PBE
State: optimized geometry Values from VASP.

```
&SYSTEM
  ibrav = 0, nat = 10, ntyp = 3
/
ATOMIC_SPECIES
Nb 92.91 Nb.upf
Al 26.98 Al.upf
Ge 72.64 Ge.upf
CELL_PARAMETERS angstrom
6.880 0.000 0.000
0.000 6.880 0.000
0.000 0.000 3.610
ATOMIC_POSITIONS angstrom
Nb 0.000 0.000 0.000
Nb 3.440 3.440 0.000
Al 1.112 2.328 1.805
Al 2.328 5.768 1.805
Al 4.551 1.112 1.805
Al 5.768 4.551 1.805
Ge 0.966 4.406 0.000
Ge 2.474 0.966 0.000
Ge 4.406 5.913 0.000
Ge 5.913 2.474 0.000
```

Size of the total moment = 0.000 μB per formula unit
V = 17.09 A^3/atom
Space group = P4/mbm
Energy of formation from the pure elements = -3.0 kJ/mol of atoms

Material: TmAl7Fe5
Method: DFT, GGA-PBE
State: optimized geometry Values from VASP.

```
&SYSTEM
  ibrav = 0, nat = 13, ntyp = 3
/
ATOMIC_SPECIES
Tm 168.93 Tm.upf
Al 26.98 Al.upf
Fe 55.84 Fe.upf
CELL_PARAMETERS angstrom
-2.504 4.308 4.298
2.504 -4.308 4.298
2.504 4.308 -4.298
ATOMIC_POSITIONS angstrom
Tm 0.000 0.000 0.000
Al 2.504 1.796 0.007
Al 2.504 0.000 1.991
Al 0.000 0.000 2.965
Al 0.000 2.944 0.122
Al 0.000 0.000 5.727
Al 0.000 5.672 0.122
Al 0.000 2.512 4.305
Fe 1.239 2.158 -2.089
Fe 1.265 -2.150 2.209
Fe 1.239 6.458 -2.089
Fe 1.265 2.150 2.209
Fe 0.000 4.308 2.331
```

Size of the total moment = 7.975 μB per formula unit
V = 14.27 A^3/atom
Space group = Imm2
Energy of formation from the pure elements = -38.5 kJ/mol of atoms

Material: NaGeAu2
Method: DFT, GGA-PBE
State: optimized geometry Values from VASP.

```
&SYSTEM
  ibrav = 0, nat = 4, ntyp = 3
/
ATOMIC_SPECIES
Na 22.99 Na.upf
Ge 72.64 Ge.upf
Au 196.97 Au.upf
CELL_PARAMETERS angstrom
2.299 1.327 5.027
-2.299 1.327 5.027
0.000 -2.654 5.027
ATOMIC_POSITIONS angstrom
Na 0.000 0.000 0.000
Ge 0.000 0.000 7.541
Au 0.000 0.000 3.053
Au 0.000 0.000 12.030
```

Size of the total moment = 0.000 μB per formula unit
V = 23.01 A^3/atom
Space group = R-3m
Energy of formation from the pure elements = -12.2 kJ/mol of atoms

Material: Cs2K5Na2
Method: DFT, GGA-PBE
State: optimized geometry Values from VASP.

```
&SYSTEM
  ibrav = 0, nat = 18, ntyp = 3
/
ATOMIC_SPECIES
Cs 132.91 Cs.upf
K 39.10 K.upf
Na 22.99 Na.upf
CELL_PARAMETERS angstrom
13.633 -4.982 0.000
13.633 4.982 0.000
0.000 0.000 9.921
ATOMIC_POSITIONS angstrom
Cs 6.210 0.000 0.000
Cs 7.423 0.000 4.961
Cs 19.844 0.000 4.961
Cs 21.056 0.000 0.000
K 0.000 0.000 0.000
K 10.725 3.267 6.668
K 10.725 1.716 1.708
K 16.542 3.267 6.668
K 16.542 1.716 1.708
K 13.633 0.000 4.961
K 10.725 -1.716 8.213
K 10.725 -3.267 3.253
K 16.542 -1.716 8.213
K 16.542 -3.267 3.253
Na 13.633 3.746 3.744
Na 13.633 1.236 8.705
Na 13.633 -1.236 1.216
Na 13.633 -3.746 6.177
```

Size of the total moment = 0.000 μB per formula unit
V = 74.88 A^3/atom
Space group = Cmce
Energy of formation from the pure elements = 2.7 kJ/mol of atoms
Excess energy over the best structure of this formula in the dataset = 0.0 meV/atom

Material: Cd2AgH6Ir
Method: DFT, GGA-PBE
State: optimized geometry Values from VASP.

```
&SYSTEM
  ibrav = 0, nat = 10, ntyp = 4
/
ATOMIC_SPECIES
Cd 112.41 Cd.upf
Ag 107.87 Ag.upf
H 1.01 H.upf
Ir 192.22 Ir.upf
CELL_PARAMETERS angstrom
4.581 0.000 0.000
-2.290 3.967 0.000
0.000 0.000 5.870
ATOMIC_POSITIONS angstrom
Cd 0.000 2.645 1.316
Cd 2.290 1.322 4.554
Ag 0.000 0.000 0.000
H 0.000 1.451 3.768
H -1.034 3.242 3.768
H 1.257 0.726 2.103
H 1.034 3.242 3.768
H 3.324 0.726 2.103
H 2.290 2.516 2.103
Ir 0.000 0.000 2.935
```

Size of the total moment = 0.000 μB per formula unit
Final energy = -3.2454 eV/atom
V = 10.67 A^3/atom
Space group = P-3m1

Material: Ac5Sn3Ir3
Method: DFT, GGA-PBE
State: optimized geometry Values from VASP.

```
&SYSTEM
  ibrav = 0, nat = 11, ntyp = 3
/
ATOMIC_SPECIES
Ac 227.00 Ac.upf
Sn 118.71 Sn.upf
Ir 192.22 Ir.upf
CELL_PARAMETERS angstrom
9.479 0.000 0.000
-4.740 8.209 0.000
0.000 0.000 4.895
ATOMIC_POSITIONS angstrom
Ac -1.147 1.987 0.000
Ac 2.295 0.000 0.000
Ac 0.000 5.473 0.000
Ac 4.740 2.736 0.000
Ac 3.592 6.222 0.000
Sn -2.637 4.567 2.448
Sn 2.103 3.642 2.448
Sn 5.273 0.000 2.448
Ir -3.102 5.373 0.000
Ir 1.637 2.836 0.000
Ir 6.205 0.000 0.000
```

Size of the total moment = 0.000 μB per formula unit
V = 34.63 A^3/atom
Space group = P-62m
Energy of formation from the pure elements = -38.1 kJ/mol of atoms

Material: BeAg3
Method: DFT, GGA-PBE
State: optimized geometry Values from VASP.

```
&SYSTEM
  ibrav = 0, nat = 4, ntyp = 2
/
ATOMIC_SPECIES
Be 9.01 Be.upf
Ag 107.87 Ag.upf
CELL_PARAMETERS angstrom
2.803 0.000 0.000
0.000 2.842 0.000
0.000 0.000 8.265
ATOMIC_POSITIONS angstrom
Be 0.000 0.000 0.000
Ag 0.000 1.421 1.987
Ag 1.401 0.000 4.212
Ag 1.401 1.421 6.760
```

Size of the total moment = 0.000 μB per formula unit
V = 16.46 A^3/atom
Space group = Pmm2
Energy of formation from the pure elements = 24.7 kJ/mol of atoms

Material: CsBe
Method: DFT, GGA-PBE
State: optimized geometry Values from VASP.

```
&SYSTEM
  ibrav = 0, nat = 4, ntyp = 2
/
ATOMIC_SPECIES
Cs 132.91 Cs.upf
Be 9.01 Be.upf
CELL_PARAMETERS angstrom
6.417 0.000 0.000
-3.208 5.557 0.000
0.000 0.000 7.428
ATOMIC_POSITIONS angstrom
Cs 0.000 3.705 1.857
Cs 3.208 1.852 5.571
Be 0.000 3.705 5.571
Be 3.208 1.852 1.857
```

Size of the total moment = 0.000 μB per formula unit
V = 66.22 A^3/atom
Space group = P6_3/mmc
Energy of formation from the pure elements = 138.2 kJ/mol of atoms
Excess energy over the best structure of this formula in the dataset = 793.4 meV/atom

Material: ZnPdSe2
Method: DFT, GGA-PBE
State: optimized geometry Values from VASP.

```
&SYSTEM
  ibrav = 0, nat = 4, ntyp = 3
/
ATOMIC_SPECIES
Zn 65.41 Zn.upf
Pd 106.42 Pd.upf
Se 78.96 Se.upf
CELL_PARAMETERS angstrom
1.997 1.153 7.182
-1.997 1.153 7.182
0.000 -2.306 7.182
ATOMIC_POSITIONS angstrom
Zn 0.000 0.000 0.000
Pd 0.000 0.000 10.773
Se 0.000 0.000 2.352
Se 0.000 0.000 19.193
```

Size of the total moment = 0.000 μB per formula unit
V = 24.81 A^3/atom
Space group = R-3m
Uncorrected formation energy = -0.175 eV per atom

Material: K2RbSrI4
Method: DFT, GGA-PBE
State: optimized geometry Values from VASP.

```
&SYSTEM
  ibrav = 0, nat = 8, ntyp = 4
/
ATOMIC_SPECIES
K 39.10 K.upf
Rb 85.47 Rb.upf
Sr 87.62 Sr.upf
I 126.90 I.upf
CELL_PARAMETERS angstrom
8.988 0.000 0.000
0.000 4.960 0.000
-2.738 0.000 9.099
ATOMIC_POSITIONS angstrom
K 0.000 0.000 0.000
K -1.369 2.480 4.549
Rb 3.125 0.000 4.549
Sr 4.494 2.480 0.000
I 1.789 2.480 1.965
I 0.396 0.000 7.250
I 5.854 0.000 1.849
I 4.461 2.480 7.134
```

Size of the total moment = 0.002 μB per formula unit
V = 50.70 A^3/atom
Space group = P2/m
Uncorrected formation energy = -1.341 eV per atom

Material: PuPa2V
Method: DFT, GGA-PBE
State: optimized geometry Values from VASP.

```
&SYSTEM
  ibrav = 0, nat = 4, ntyp = 3
/
ATOMIC_SPECIES
Pu 244.00 Pu.upf
Pa 231.04 Pa.upf
V 50.94 V.upf
CELL_PARAMETERS angstrom
3.480 0.000 0.000
0.000 3.480 0.000
0.000 0.000 6.996
ATOMIC_POSITIONS angstrom
Pu 0.000 0.000 0.000
Pa 1.740 1.740 1.840
Pa 1.740 1.740 5.157
V 0.000 0.000 3.498
```

Size of the total moment = 4.340 μB per formula unit
V = 21.19 A^3/atom
Space group = P4/mmm
Energy of formation from the pure elements = 16.6 kJ/mol of atoms
Excess energy over the best structure of this formula in the dataset = 13.2 meV/atom

Material: CaGeNO2
Method: DFT, GGA-PBE
State: optimized geometry Values from VASP.

```
&SYSTEM
  ibrav = 0, nat = 5, ntyp = 4
/
ATOMIC_SPECIES
Ca 40.08 Ca.upf
Ge 72.64 Ge.upf
N 14.01 N.upf
O 16.00 O.upf
CELL_PARAMETERS angstrom
3.870 0.000 0.000
0.000 3.870 0.000
0.000 0.000 3.769
ATOMIC_POSITIONS angstrom
Ca 0.000 0.000 0.000
Ge 1.935 1.935 1.885
N 1.935 1.935 0.000
O 0.000 1.935 1.885
O 1.935 0.000 1.885
```

Size of the total moment = 0.856 μB per formula unit
V = 11.29 A^3/atom
Space group = P4/mmm
Uncorrected formation energy = -1.213 eV per atom

Material: HfAl2Ag2
Method: DFT, GGA-PBE
State: optimized geometry Values from VASP.

```
&SYSTEM
  ibrav = 0, nat = 10, ntyp = 3
/
ATOMIC_SPECIES
Hf 178.49 Hf.upf
Al 26.98 Al.upf
Ag 107.87 Ag.upf
CELL_PARAMETERS angstrom
7.777 0.000 0.000
0.000 7.777 0.000
0.000 0.000 2.935
ATOMIC_POSITIONS angstrom
Hf 0.000 0.000 0.000
Hf 3.889 3.889 0.000
Al 1.067 2.821 0.000
Al 2.821 6.710 0.000
Al 4.956 1.067 0.000
Al 6.710 4.956 0.000
Ag 1.248 5.137 1.467
Ag 2.640 1.248 1.467
Ag 5.137 6.529 1.467
Ag 6.529 2.640 1.467
```

Size of the total moment = 0.000 μB per formula unit
V = 17.75 A^3/atom
Space group = P4/mbm
Energy of formation from the pure elements = -2.4 kJ/mol of atoms
Excess energy over the best structure of this formula in the dataset = 21.3 meV/atom